Entry 1:
DFT (GGA-PBE) results for LuNbN2O after structural relaxation.

Calculated total energy = -9.048 eV per atom
ρ = 8.5 g cm⁻³

Cell: 7.8154 7.8053 10.8649 Å, 90.00 132.82 90.00°
Closest atoms and distances in Å follow each position.
Fractional positions:
1 Nb 0.9654 0.0076 0.2167  4 N 1.94-2.16, 1 O 2.12
2 Nb 0.4696 0.4899 0.7313  4 N 1.96-2.15, 1 O 2.14
3 Nb 0.5304 0.9899 0.7687  4 N 1.96-2.15, 1 O 2.14
4 Nb 0.0346 0.5076 0.2833  4 N 1.94-2.16, 1 O 2.12
5 Nb 0.9654 0.4924 0.7167  4 N 1.94-2.16, 1 O 2.12
6 Nb 0.0346 0.9924 0.7833  4 N 1.94-2.16, 1 O 2.12
7 Nb 0.5304 0.5101 0.2687  4 N 1.96-2.15, 1 O 2.14
8 Nb 0.4696 0.0101 0.2313  4 N 1.96-2.15, 1 O 2.14
9 O 0.3244 0.5415 0.0055  1 Nb 2.14, 2 Lu 2.21-2.36
10 O 0.1673 0.0417 0.6699  2 Nb 2.12-2.29, 1 Lu 2.20
11 O 0.1673 0.4583 0.1699  2 Nb 2.12-2.29, 1 Lu 2.20
12 O 0.8327 0.5417 0.8301  2 Nb 2.12-2.29, 1 Lu 2.20
13 O 0.6756 0.4585 0.9945  1 Nb 2.14, 2 Lu 2.21-2.36
14 O 0.3244 0.9585 0.5055  1 Nb 2.14, 2 Lu 2.21-2.36
15 O 0.8327 0.9583 0.3301  2 Nb 2.12-2.29, 1 Lu 2.20
16 O 0.6756 0.0415 0.4945  1 Nb 2.14, 2 Lu 2.21-2.36
17 N 0.8151 0.5649 0.3154  2 Nb 1.96-2.02
18 N 0.1849 0.4351 0.6846  2 Nb 1.96-2.02
19 N 0.6768 0.0779 0.9981  2 Nb 1.94-2.03
20 N 0.3232 0.5779 0.5019  2 Nb 1.94-2.03
21 N 0.0489 0.2584 0.3286  2 Nb 1.99-2.16
22 N 0.0489 0.2416 0.8286  2 Nb 1.99-2.16
23 N 0.9511 0.7416 0.6714  2 Nb 1.99-2.16
24 N 0.9511 0.7584 0.1714  2 Nb 1.99-2.16
25 N 0.5463 0.2472 0.2182  2 Nb 1.98-2.15, 1 Lu 2.20
26 N 0.1849 0.0649 0.1846  2 Nb 1.96-2.02
27 N 0.4537 0.7528 0.7818  2 Nb 1.98-2.15, 1 Lu 2.20
28 N 0.6768 0.4221 0.4981  2 Nb 1.94-2.03
29 N 0.3232 0.9221 0.0019  2 Nb 1.94-2.03
30 N 0.4537 0.7472 0.2818  2 Nb 1.98-2.15, 1 Lu 2.20
31 N 0.5463 0.2528 0.7182  2 Nb 1.98-2.15, 1 Lu 2.20
32 N 0.8151 0.9351 0.8154  2 Nb 1.96-2.02
33 Lu 0.5624 0.7784 0.5277  3 N 2.20-2.31, 2 O 2.21-2.36
34 Lu 0.0655 0.7280 0.0324  2 O 2.20-2.38, 3 N 2.23-2.39
35 Lu 0.9345 0.2280 0.4676  2 O 2.20-2.38, 3 N 2.23-2.39
36 Lu 0.4376 0.2784 0.9723  3 N 2.20-2.31, 2 O 2.21-2.36
37 Lu 0.5624 0.7216 0.0277  3 N 2.20-2.31, 2 O 2.21-2.36
38 Lu 0.9345 0.2720 0.9676  2 O 2.20-2.38, 3 N 2.23-2.39
39 Lu 0.0655 0.7720 0.5324  2 O 2.20-2.38, 3 N 2.23-2.39
40 Lu 0.4376 0.2216 0.4723  3 N 2.20-2.31, 2 O 2.21-2.36



Entry 2:
DFT (GGA-PBE) results for LuNbN2O after structural relaxation.

Calculated total energy = -8.641 eV per atom
ρ = 7.9 g cm⁻³

Cell: 6.1484 6.1484 12.0223 Å, 90.00 90.00 120.00°
Closest atoms and distances in Å follow each position.
Fractional positions:
1 Nb 0.6670 0.6670 0.0008  2 N 1.94-1.97, 3 O 2.06-2.07
2 Nb 0.3330 0.3330 0.5008  2 N 1.94-1.97, 3 O 2.06-2.07
3 Nb 0.3330 0.0000 0.0008  2 N 1.94-1.97, 3 O 2.06-2.07
4 Nb 0.0000 0.3330 0.0008  2 N 1.94-1.97, 3 O 2.06-2.07
5 Nb 0.0000 0.6670 0.5008  2 N 1.94-1.97, 3 O 2.06-2.07
6 Nb 0.6670 0.0000 0.5008  2 N 1.94-1.97, 3 O 2.06-2.07
7 Lu 0.6667 0.3333 0.7350  6 N 2.30-2.34
8 Lu 0.6667 0.3333 0.2350  6 N 2.30-2.34
9 Lu 0.0000 0.0000 0.7724  6 N 2.29-2.39, 1 O 2.43
10 Lu 0.3333 0.6667 0.2350  6 N 2.30-2.34
11 Lu 0.3333 0.6667 0.7350  6 N 2.30-2.34
12 Lu 0.0000 0.0000 0.2724  6 N 2.29-2.39, 1 O 2.43
13 O 0.0000 0.0000 0.9745  3 Nb 2.07
14 O 0.6667 0.3333 0.5202  3 Nb 2.06
15 O 0.0000 0.0000 0.4745  3 Nb 2.07
16 O 0.6667 0.3333 0.0202  3 Nb 2.06
17 O 0.3333 0.6667 0.5202  3 Nb 2.06
18 O 0.3333 0.6667 0.0202  3 Nb 2.06
19 N 0.3647 0.0000 0.8406  1 Nb 1.94
20 N 0.0000 0.6353 0.3406  1 Nb 1.94
21 N 0.6940 0.6940 0.1642  1 Nb 1.97
22 N 0.6940 0.0000 0.6642  1 Nb 1.97
23 N 0.0000 0.3060 0.1642  1 Nb 1.97
24 N 0.6353 0.6353 0.8406  1 Nb 1.94
25 N 0.6353 0.0000 0.3406  1 Nb 1.94
26 N 0.0000 0.3647 0.8406  1 Nb 1.94
27 N 0.3060 0.3060 0.6642  1 Nb 1.97
28 N 0.3059 0.0000 0.1642  1 Nb 1.97
29 N 0.3647 0.3647 0.3406  1 Nb 1.94
30 N 0.0000 0.6940 0.6642  1 Nb 1.97



Entry 3:
DFT (GGA-PBE) results for LuNbN2O after structural relaxation.

Calculated total energy = -8.660 eV per atom
ρ = 7.9 g cm⁻³

Cell: 5.7065 5.7065 13.9441 Å, 90.00 90.00 120.00°
Closest atoms and distances in Å follow each position.
Fractional positions:
1 O 0.5136 0.4864 0.2500  2 Lu 2.23, 2 Nb 2.31
2 O 0.9729 0.4864 0.2500  2 Lu 2.23, 2 Nb 2.31
3 O 0.4864 0.9729 0.7500  2 Lu 2.23, 2 Nb 2.31
4 O 0.0271 0.5136 0.7500  2 Lu 2.23, 2 Nb 2.31
5 O 0.5136 0.0271 0.2500  2 Lu 2.23, 2 Nb 2.31
6 O 0.4864 0.5136 0.7500  2 Lu 2.23, 2 Nb 2.31
7 Nb 0.3333 0.6667 0.1447  3 N 1.88
8 Nb 0.6667 0.3333 0.8553  3 N 1.88
9 Nb 0.0000 0.0000 0.5000  6 N 2.04
10 Nb 0.0000 0.0000 0.0000  6 N 2.04
11 Nb 0.3333 0.6667 0.3553  3 N 1.88
12 Nb 0.6667 0.3333 0.6447  3 N 1.88
13 N 0.8439 0.1561 0.9047  2 Nb 1.88-2.04
14 N 0.1561 0.3122 0.0953  2 Nb 1.88-2.04
15 N 0.6878 0.8439 0.0953  2 Nb 1.88-2.04
16 N 0.1561 0.8439 0.0953  2 Nb 1.88-2.04
17 N 0.1561 0.3122 0.4047  2 Nb 1.88-2.04
18 N 0.8439 0.1561 0.5953  2 Nb 1.88-2.04
19 N 0.3122 0.1561 0.9047  2 Nb 1.88-2.04
20 N 0.8439 0.6878 0.9047  2 Nb 1.88-2.04
21 N 0.8439 0.6878 0.5953  2 Nb 1.88-2.04
22 N 0.1561 0.8439 0.4047  2 Nb 1.88-2.04
23 N 0.3122 0.1561 0.5953  2 Nb 1.88-2.04
24 N 0.6878 0.8439 0.4047  2 Nb 1.88-2.04
25 Lu 0.6667 0.3333 0.3671  3 O 2.23
26 Lu 0.0000 0.0000 0.2500  6 N 2.65, 6 O 2.86
27 Lu 0.3333 0.6667 0.8671  3 O 2.23
28 Lu 0.6667 0.3333 0.1329  3 O 2.23
29 Lu 0.0000 0.0000 0.7500  6 N 2.65, 6 O 2.86
30 Lu 0.3333 0.6667 0.6329  3 O 2.23



Entry 4:
DFT (GGA-PBE) results for LuNbN2O after structural relaxation.

Calculated total energy = -8.920 eV per atom
ρ = 8.6 g cm⁻³

Cell: 5.4957 5.4957 5.5675 Å, 119.32 119.32 90.39°
Closest atoms and distances in Å follow each position.
Fractional positions:
1 Lu 0.7716 0.7716 0.4944  3 N 2.26-2.31, 2 O 2.36
2 Lu 0.2284 0.2284 0.5056  3 N 2.26-2.31, 2 O 2.36
3 N 0.8059 0.1941 0.5000  2 Nb 2.05
4 N 0.7895 0.7895 0.9169  2 Nb 2.07, 1 Lu 2.26
5 N 0.1941 0.8059 0.5000  2 Nb 2.05
6 N 0.2105 0.2105 0.0831  2 Nb 2.07, 1 Lu 2.26
7 Nb 0.5000 0.0000 0.0000  4 N 2.05-2.07, 2 O 2.05
8 Nb 0.0000 0.5000 0.0000  4 N 2.05-2.07, 2 O 2.05
9 O 0.6626 0.3374 0.0000  2 Nb 2.05
10 O 0.3374 0.6626 0.0000  2 Nb 2.05



Entry 5:
DFT (GGA-PBE) results for LuNbN2O after structural relaxation.

Calculated total energy = -8.976 eV per atom
ρ = 8.5 g cm⁻³

Cell: 5.5615 5.5615 5.5615 Å, 90.92 120.02 118.92°
Closest atoms and distances in Å follow each position.
Fractional positions:
1 Lu 0.6727 0.4582 0.7145  1 O 2.22, 4 N 2.25-2.36
2 Lu 0.7437 0.9582 0.2855  1 O 2.22, 4 N 2.25-2.36
3 N 0.7238 0.9008 0.6770  2 Nb 1.96-2.17
4 N 0.2238 0.0468 0.3230  2 Nb 1.96-2.17
5 N 0.2238 0.4008 0.6770  2 Nb 1.96-2.17
6 N 0.7238 0.5468 0.3230  2 Nb 1.96-2.17
7 O 0.0904 0.4779 0.1124  2 Nb 2.10, 1 Lu 2.22
8 O 0.3655 0.9779 0.8876  2 Nb 2.10, 1 Lu 2.22
9 Nb 0.1969 0.6969 0.5000  4 N 1.96-2.17, 2 O 2.10
10 Nb 0.1969 0.1969 0.0000  4 N 1.96-2.17, 2 O 2.10



Entry 6:
DFT (GGA-PBE) results for LuNbN2O after structural relaxation.

Calculated total energy = -9.026 eV per atom
ρ = 8.6 g cm⁻³

Cell: 7.8206 5.4061 5.6959 Å, 90.00 90.00 90.00°
Closest atoms and distances in Å follow each position.
Fractional positions:
1 Nb 0.2522 0.7572 0.4568  4 N 1.96-2.19, 2 O 2.10-2.12
2 Nb 0.2522 0.2428 0.9568  4 N 1.96-2.19, 2 O 2.10-2.12
3 Nb 0.7478 0.7572 0.4568  4 N 1.96-2.19, 2 O 2.10-2.12
4 Nb 0.7478 0.2428 0.9568  4 N 1.96-2.19, 2 O 2.10-2.12
5 N 0.6801 0.5519 0.1866  2 Nb 1.97-2.19
6 N 0.3199 0.4481 0.6866  2 Nb 1.97-2.19
7 N 0.1827 0.9451 0.7843  2 Nb 1.96-2.19
8 N 0.6801 0.4481 0.6866  2 Nb 1.97-2.19
9 N 0.8173 0.9451 0.7843  2 Nb 1.96-2.19
10 N 0.8173 0.0549 0.2843  2 Nb 1.96-2.19
11 N 0.3199 0.5519 0.1866  2 Nb 1.97-2.19
12 N 0.1827 0.0549 0.2843  2 Nb 1.96-2.19
13 O 0.5000 0.1131 0.0296  2 Nb 2.10, 2 Lu 2.23-2.34
14 O 0.5000 0.8869 0.5296  2 Nb 2.10, 2 Lu 2.23-2.34
15 O 0.0000 0.3823 0.9262  2 Nb 2.12, 2 Lu 2.20-2.35
16 O 0.0000 0.6177 0.4262  2 Nb 2.12, 2 Lu 2.20-2.35
17 Lu 0.5000 0.7212 0.9091  2 O 2.23-2.34, 4 N 2.31-2.40
18 Lu 0.0000 0.2298 0.5401  2 O 2.20-2.35, 2 N 2.25
19 Lu 0.5000 0.2788 0.4091  2 O 2.23-2.34, 4 N 2.31-2.40
20 Lu 0.0000 0.7702 0.0401  2 O 2.20-2.35, 2 N 2.25



Entry 7:
DFT (GGA-PBE) results for LuNbN2O after structural relaxation.

Calculated total energy = -9.039 eV per atom
ρ = 8.6 g cm⁻³

Cell: 7.7440 5.4303 5.7211 Å, 90.00 90.00 90.00°
Closest atoms and distances in Å follow each position.
Fractional positions:
1 O 0.6900 0.4318 0.1748  2 Nb 2.09-2.30, 1 Lu 2.21
2 O 0.3100 0.5682 0.6748  2 Nb 2.09-2.30, 1 Lu 2.21
3 O 0.3100 0.4318 0.1748  2 Nb 2.09-2.30, 1 Lu 2.21
4 O 0.6900 0.5682 0.6748  2 Nb 2.09-2.30, 1 Lu 2.21
5 N 0.8077 0.9333 0.3129  2 Nb 1.96-2.05
6 N 0.1923 0.9333 0.3129  2 Nb 1.96-2.05
7 N 0.5000 0.1446 0.5355  2 Nb 2.05, 1 Lu 2.25
8 N 0.8077 0.0667 0.8129  2 Nb 1.96-2.05
9 N 0.1923 0.0667 0.8129  2 Nb 1.96-2.05
10 N 0.0000 0.3698 0.4441  2 Nb 2.07, 2 Lu 2.19-2.24
11 N 0.0000 0.6302 0.9441  2 Nb 2.07, 2 Lu 2.19-2.24
12 N 0.5000 0.8554 0.0355  2 Nb 2.05, 1 Lu 2.25
13 Nb 0.7569 0.7659 0.0181  4 N 1.96-2.07, 1 O 2.09
14 Nb 0.2431 0.7659 0.0181  4 N 1.96-2.07, 1 O 2.09
15 Nb 0.7569 0.2341 0.5181  4 N 1.96-2.07, 1 O 2.09
16 Nb 0.2431 0.2341 0.5181  4 N 1.96-2.07, 1 O 2.09
17 Lu 0.5000 0.2569 0.9402  2 O 2.21, 2 N 2.25-2.39
18 Lu 0.0000 0.2500 0.0690  4 N 2.19-2.31
19 Lu 0.0000 0.7500 0.5690  4 N 2.19-2.31
20 Lu 0.5000 0.7431 0.4402  2 O 2.21, 2 N 2.25-2.39



Entry 8:
DFT (GGA-PBE) results for LuNbN2O after structural relaxation.

Calculated total energy = -8.998 eV per atom
ρ = 8.5 g cm⁻³

Cell: 7.9483 7.7451 11.1365 Å, 90.00 134.46 90.00°
Closest atoms and distances in Å follow each position.
Fractional positions:
1 O 0.0451 0.8161 0.5341  2 Lu 2.14-2.31, 2 Nb 2.22-2.31
2 O 0.9549 0.3161 0.9659  2 Lu 2.14-2.31, 2 Nb 2.22-2.31
3 O 0.9248 0.7567 0.7395  2 Nb 2.15-2.24, 2 Lu 2.19-2.26
4 O 0.0752 0.2433 0.2605  2 Nb 2.15-2.24, 2 Lu 2.19-2.26
5 O 0.9549 0.1839 0.4659  2 Lu 2.14-2.31, 2 Nb 2.22-2.31
6 O 0.0752 0.2567 0.7605  2 Nb 2.15-2.24, 2 Lu 2.19-2.26
7 O 0.9248 0.7433 0.2395  2 Nb 2.15-2.24, 2 Lu 2.19-2.26
8 O 0.0451 0.6839 0.0341  2 Lu 2.14-2.31, 2 Nb 2.22-2.31
9 N 0.8395 0.5064 0.5191  2 Nb 2.01-2.05
10 N 0.8395 0.9936 0.0191  2 Nb 2.01-2.05
11 N 0.4189 0.2702 0.2588  2 Nb 1.96-2.02
12 N 0.4054 0.6993 0.3990  2 Nb 1.97-2.00
13 N 0.5811 0.7298 0.7412  2 Nb 1.96-2.02
14 N 0.5946 0.3007 0.6010  2 Nb 1.97-2.00
15 N 0.7228 0.4958 0.0238  2 Nb 2.02-2.06
16 N 0.5811 0.7702 0.2412  2 Nb 1.96-2.02
17 N 0.4054 0.8007 0.8990  2 Nb 1.97-2.00
18 N 0.2772 0.9958 0.4762  2 Nb 2.02-2.06
19 N 0.1605 0.0064 0.9809  2 Nb 2.01-2.05
20 N 0.5946 0.1993 0.1010  2 Nb 1.97-2.00
21 N 0.4189 0.2298 0.7588  2 Nb 1.96-2.02
22 N 0.7228 0.0042 0.5238  2 Nb 2.02-2.06
23 N 0.2772 0.5042 0.9762  2 Nb 2.02-2.06
24 N 0.1605 0.4936 0.4809  2 Nb 2.01-2.05
25 Lu 0.7650 0.9859 0.7552  1 O 2.26, 3 N 2.27-2.40
26 Lu 0.7650 0.5141 0.2552  1 O 2.26, 3 N 2.27-2.40
27 Lu 0.8344 0.5207 0.7922  3 O 2.14-2.31, 2 N 2.32
28 Lu 0.1656 0.0207 0.7078  3 O 2.14-2.31, 2 N 2.32
29 Lu 0.2350 0.0141 0.2448  1 O 2.26, 3 N 2.27-2.40
30 Lu 0.1656 0.4793 0.2078  3 O 2.14-2.31, 2 N 2.32
31 Lu 0.8344 0.9793 0.2922  3 O 2.14-2.31, 2 N 2.32
32 Lu 0.2350 0.4859 0.7448  1 O 2.26, 3 N 2.27-2.40
33 Nb 0.2822 0.7629 0.0038  4 N 1.96-2.05
34 Nb 0.7178 0.2371 0.9962  4 N 1.96-2.05
35 Nb 0.7178 0.2629 0.4962  4 N 1.96-2.05
36 Nb 0.2904 0.2535 0.5267  4 N 1.97-2.06, 1 O 2.15
37 Nb 0.2822 0.7371 0.5038  4 N 1.96-2.05
38 Nb 0.7096 0.7535 0.9733  4 N 1.97-2.06, 1 O 2.15
39 Nb 0.7096 0.7465 0.4733  4 N 1.97-2.06, 1 O 2.15
40 Nb 0.2904 0.2465 0.0267  4 N 1.97-2.06, 1 O 2.15